Record 1
MgBiRu after structural relaxation, computed with PBE.

Unit cell a=6.331 b=6.273 c=3.293 alpha=89.95 beta=90.00 gamma=89.97
Fractional positions:
Ru: 0.614 0.106 0.508
Mg: 0.363 0.349 0.009
Mg: 0.864 0.864 0.010
Bi: 0.864 0.372 0.007
Ru: 0.114 0.106 0.508
Bi: 0.364 0.841 0.008

Energy above the most stable polymorph in this dataset (meV per atom): 97
Density of states at the Fermi level (states/eV/cell): 4.92

---

Record 2
MgBiRu after structural relaxation, computed with PBE.

Unit cell a=13.028 b=3.271 c=3.270 alpha=90.01 beta=104.71 gamma=89.75
Fractional positions:
Bi: 0.016 0.440 0.414
Ru: 0.890 0.942 0.786
Ru: 0.390 0.942 0.288
Mg: 0.266 0.445 0.661
Bi: 0.516 0.439 0.915
Mg: 0.766 0.445 0.160

Energy above the most stable polymorph in this dataset (meV per atom): 137
Density of states at the Fermi level (states/eV/cell): 2.85

---

Record 3
MgBiRu2Se after structural relaxation, computed with PBE.

Unit cell a=4.596 b=5.518 c=4.596 alpha=90.00 beta=90.00 gamma=90.00
Fractional positions:
Ru: 0.500 0.000 0.000
Mg: 0.500 0.500 0.500
Ru: 0.000 0.000 0.500
Bi: 0.000 0.500 0.000
Se: 0.000 0.000 0.000

Formation energy without anion corrections (kJ/mol of atoms): 79
Density of states at the Fermi level (states/eV/cell): 5.25

---

Record 4
MgVBiRu2 after structural relaxation, computed with PBE.

Unit cell a=4.969 b=4.917 c=4.969 alpha=90.00 beta=90.00 gamma=90.00
Fractional positions:
Ru: 0.000 0.000 0.500
Ru: 0.500 0.000 0.000
V: 0.000 0.500 0.000
Bi: 0.000 0.000 0.000
Mg: 0.500 0.500 0.500

Density of states at the Fermi level (states/eV/cell): 15.81

---

Record 5
MgBiS2 after structural relaxation, computed with PBE.

Unit cell a=6.028 b=6.028 c=7.559 alpha=66.50 beta=66.50 gamma=90.00
Fractional positions:
Bi: 0.000 0.000 0.000
S: 0.375 0.426 0.750
Mg: 0.500 0.500 0.000
S: 0.176 0.625 0.250
S: 0.875 0.824 0.750
Bi: 0.750 0.250 0.500
Mg: 0.250 0.750 0.500
S: 0.574 0.125 0.250

Energy above the most stable polymorph in this dataset (meV per atom): 48
Formation energy without anion corrections (kJ/mol of atoms): -49
Density of states at the Fermi level (states/eV/cell): 4.16

---

Record 6
MgBi2S4 after structural relaxation, computed with PBE.

Unit cell a=8.077 b=8.077 c=8.078 alpha=60.00 beta=60.00 gamma=89.99
Fractional positions:
Bi: 0.500 0.000 0.000
S: 0.748 0.752 0.004
S: 0.748 0.752 0.496
Bi: 0.500 0.500 0.500
Bi: 0.000 0.000 0.000
S: 0.252 0.248 0.996
Bi: 0.500 0.000 0.500
Mg: 0.875 0.625 0.750
S: 0.256 0.752 0.496
Mg: 0.125 0.375 0.250
S: 0.252 0.248 0.504
S: 0.744 0.248 0.504
S: 0.252 0.756 0.996
S: 0.748 0.244 0.004

Energy above the most stable polymorph in this dataset (meV per atom): 0
Formation energy without anion corrections (kJ/mol of atoms): -61

---

| no. | DFT total energy (eV/atom) | total magnetization (μB/atom) |
| --- | --- | --- |
| 1 | -4.9286 | 0.00 |
| 2 | -4.8886 | 0.00 |
| 3 | -4.6809 | 0.00 |
| 4 | -4.9266 | 0.00 |
| 5 | -3.9390 | 0.00 |
| 6 | -4.3253 | 0.00 |